[1]
An optimized crystal structure of Be2CdCo. Source: Alexandria, functional PBE-GGA.

```
data_Be2CdCo
_cell_length_a 4.647
_cell_length_b 4.647
_cell_length_c 4.647
_cell_angle_alpha 143.36
_cell_angle_beta 125.82
_cell_angle_gamma 67.19
_symmetry_space_group_name_H-M 'P 1'
_symmetry_Int_Tables_number 1
loop_
_symmetry_equiv_pos_as_xyz
'x,y,z'
loop_
_atom_site_label
_atom_site_type_symbol
_atom_site_fract_x
_atom_site_fract_y
_atom_site_fract_z
_atom_site_occupancy
Be1 Be 0.224 0.224 0.000 1
Be2 Be 0.776 0.776 0.000 1
Cd1 Cd 0.500 0.000 0.500 1
Co1 Co 0.000 0.500 0.500 1
```

Results
Its space group is Immm (71). The value obtained for the formation energy is 25.64 kJ per mole of atoms. Its total DFT energy (no corrections) is -3.603 eV per atom. Its density of states at the Fermi level is 1.893 states/eV/f.u. The spin magnetization comes out at 0.0003 μB/atom.

***

[2]
An optimized crystal structure of Be2CdCo. Source: Alexandria, functional PBE-GGA.

```
data_Be2CdCo
_cell_length_a 3.913
_cell_length_b 3.913
_cell_length_c 2.994
_cell_angle_alpha 90.00
_cell_angle_beta 90.00
_cell_angle_gamma 90.00
_symmetry_space_group_name_H-M 'P 1'
_symmetry_Int_Tables_number 1
loop_
_symmetry_equiv_pos_as_xyz
'x,y,z'
loop_
_atom_site_label
_atom_site_type_symbol
_atom_site_fract_x
_atom_site_fract_y
_atom_site_fract_z
_atom_site_occupancy
Be1 Be 0.000 0.500 0.000 1
Be2 Be 0.500 0.000 0.000 1
Cd1 Cd 0.000 0.000 0.500 1
Co1 Co 0.500 0.500 0.500 1
```

Results
Its space group is P4/mmm (123). The value obtained for the formation energy is 19.44 kJ per mole of atoms. Its total DFT energy (no corrections) is -3.667 eV per atom. Its density of states at the Fermi level is 1.492 states/eV/f.u. The spin magnetization comes out at 0.1569 μB/atom.

***

[3]
An optimized crystal structure of BeCdCo4. Source: Alexandria, functional PBE-GGA.

```
data_BeCdCo4
_cell_length_a 4.748
_cell_length_b 4.748
_cell_length_c 4.748
_cell_angle_alpha 60.00
_cell_angle_beta 60.00
_cell_angle_gamma 60.00
_symmetry_space_group_name_H-M 'P 1'
_symmetry_Int_Tables_number 1
loop_
_symmetry_equiv_pos_as_xyz
'x,y,z'
loop_
_atom_site_label
_atom_site_type_symbol
_atom_site_fract_x
_atom_site_fract_y
_atom_site_fract_z
_atom_site_occupancy
Be1 Be 0.000 0.000 0.000 1
Cd1 Cd 0.250 0.250 0.250 1
Co1 Co 0.123 0.626 0.626 1
Co2 Co 0.626 0.123 0.626 1
Co3 Co 0.626 0.626 0.123 1
Co4 Co 0.626 0.626 0.626 1
```

Results
Its space group is F-43m (216). The value obtained for the formation energy is 28.90 kJ per mole of atoms. Its total DFT energy (no corrections) is -5.211 eV per atom. Its density of states at the Fermi level is 5.179 states/eV/f.u. The spin magnetization comes out at 0.9904 μB/atom.

***

[4]
An optimized crystal structure of Be2CdCo. Source: Alexandria, functional PBE-GGA.

```
data_Be2CdCo
_cell_length_a 4.780
_cell_length_b 4.780
_cell_length_c 3.920
_cell_angle_alpha 113.99
_cell_angle_beta 113.99
_cell_angle_gamma 35.03
_symmetry_space_group_name_H-M 'P 1'
_symmetry_Int_Tables_number 1
loop_
_symmetry_equiv_pos_as_xyz
'x,y,z'
loop_
_atom_site_label
_atom_site_type_symbol
_atom_site_fract_x
_atom_site_fract_y
_atom_site_fract_z
_atom_site_occupancy
Be1 Be 0.000 0.000 0.000 1
Be2 Be 0.245 0.245 0.744 1
Cd1 Cd 0.769 0.769 0.268 1
Co1 Co 0.539 0.539 0.539 1
```

Results
Its space group is Cm (8). The value obtained for the formation energy is 19.65 kJ per mole of atoms. Its total DFT energy (no corrections) is -3.665 eV per atom. Its density of states at the Fermi level is 0.924 states/eV/f.u. The spin magnetization comes out at 0.0000 μB/atom.

***

[5]
An optimized crystal structure of Be2CdCo. Source: Alexandria, functional PBE-GGA.

```
data_Be2CdCo
_cell_length_a 2.784
_cell_length_b 2.784
_cell_length_c 6.000
_cell_angle_alpha 90.00
_cell_angle_beta 90.00
_cell_angle_gamma 90.00
_symmetry_space_group_name_H-M 'P 1'
_symmetry_Int_Tables_number 1
loop_
_symmetry_equiv_pos_as_xyz
'x,y,z'
loop_
_atom_site_label
_atom_site_type_symbol
_atom_site_fract_x
_atom_site_fract_y
_atom_site_fract_z
_atom_site_occupancy
Be1 Be 0.000 0.000 0.180 1
Be2 Be 0.000 0.000 0.820 1
Cd1 Cd 0.500 0.500 0.500 1
Co1 Co 0.500 0.500 0.000 1
```

Results
Its space group is P4/mmm (123). The value obtained for the formation energy is 0.61 kJ per mole of atoms. Its total DFT energy (no corrections) is -3.862 eV per atom. Its density of states at the Fermi level is 1.537 states/eV/f.u. The spin magnetization comes out at 0.0005 μB/atom.

***

[6]
An optimized crystal structure of BeCd3Co. Source: Alexandria, functional PBE-GGA.

```
data_BeCd3Co
_cell_length_a 4.594
_cell_length_b 4.594
_cell_length_c 4.594
_cell_angle_alpha 90.00
_cell_angle_beta 90.00
_cell_angle_gamma 90.00
_symmetry_space_group_name_H-M 'P 1'
_symmetry_Int_Tables_number 1
loop_
_symmetry_equiv_pos_as_xyz
'x,y,z'
loop_
_atom_site_label
_atom_site_type_symbol
_atom_site_fract_x
_atom_site_fract_y
_atom_site_fract_z
_atom_site_occupancy
Be1 Be 0.000 0.000 0.000 1
Cd1 Cd 0.000 0.000 0.500 1
Cd2 Cd 0.000 0.500 0.000 1
Cd3 Cd 0.500 0.000 0.000 1
Co1 Co 0.500 0.500 0.500 1
```

Results
Its space group is Pm-3m (221). For the energy above the most stable polymorph in this dataset, the calculation gives 0.000 eV/atom. The value obtained for the formation energy is 71.81 kJ per mole of atoms. Its total DFT energy (no corrections) is -1.971 eV per atom. Its density of states at the Fermi level is 5.760 states/eV/f.u. The spin magnetization comes out at 0.3788 μB/atom.

***

[7]
An optimized crystal structure of Be2CdCo. Source: Alexandria, functional PBE-GGA.

```
data_Be2CdCo
_cell_length_a 8.071
_cell_length_b 8.071
_cell_length_c 8.071
_cell_angle_alpha 152.62
_cell_angle_beta 152.62
_cell_angle_gamma 39.11
_symmetry_space_group_name_H-M 'P 1'
_symmetry_Int_Tables_number 1
loop_
_symmetry_equiv_pos_as_xyz
'x,y,z'
loop_
_atom_site_label
_atom_site_type_symbol
_atom_site_fract_x
_atom_site_fract_y
_atom_site_fract_z
_atom_site_occupancy
Be1 Be 0.375 0.219 0.344 1
Be2 Be 0.781 0.125 0.156 1
Be3 Be 0.875 0.031 0.656 1
Be4 Be 0.969 0.625 0.844 1
Cd1 Cd 0.250 0.750 0.500 1
Cd2 Cd 0.500 0.500 0.000 1
Co1 Co 0.000 0.000 0.000 1
Co2 Co 0.750 0.250 0.500 1
```

Results
Its space group is I-42d (122). The value obtained for the formation energy is 49.46 kJ per mole of atoms. Its total DFT energy (no corrections) is -3.356 eV per atom. Its density of states at the Fermi level is 1.642 states/eV/f.u. The spin magnetization comes out at 0.0000 μB/atom.

***

[8]
An optimized crystal structure of Be2CdCo2. Source: Alexandria, functional PBE-GGA.

```
data_Be2CdCo2
_cell_length_a 6.295
_cell_length_b 6.295
_cell_length_c 2.767
_cell_angle_alpha 90.00
_cell_angle_beta 90.00
_cell_angle_gamma 90.00
_symmetry_space_group_name_H-M 'P 1'
_symmetry_Int_Tables_number 1
loop_
_symmetry_equiv_pos_as_xyz
'x,y,z'
loop_
_atom_site_label
_atom_site_type_symbol
_atom_site_fract_x
_atom_site_fract_y
_atom_site_fract_z
_atom_site_occupancy
Be1 Be 0.122 0.378 0.000 1
Be2 Be 0.378 0.878 0.000 1
Be3 Be 0.622 0.122 0.000 1
Be4 Be 0.878 0.622 0.000 1
Cd1 Cd 0.000 0.000 0.000 1
Cd2 Cd 0.500 0.500 0.000 1
Co1 Co 0.158 0.658 0.500 1
Co2 Co 0.342 0.158 0.500 1
Co3 Co 0.658 0.842 0.500 1
Co4 Co 0.842 0.342 0.500 1
```

Results
Its space group is P4/mbm (127). For the energy above the most stable polymorph in this dataset, the calculation gives 0.000 eV/atom. The value obtained for the formation energy is 0.02 kJ per mole of atoms. Its total DFT energy (no corrections) is -4.516 eV per atom. Its density of states at the Fermi level is 3.095 states/eV/f.u. The spin magnetization comes out at 0.0000 μB/atom.

***

[9]
An optimized crystal structure of Be3CdCo. Source: Alexandria, functional PBE-GGA.

```
data_Be3CdCo
_cell_length_a 4.028
_cell_length_b 4.028
_cell_length_c 4.028
_cell_angle_alpha 90.00
_cell_angle_beta 90.00
_cell_angle_gamma 90.00
_symmetry_space_group_name_H-M 'P 1'
_symmetry_Int_Tables_number 1
loop_
_symmetry_equiv_pos_as_xyz
'x,y,z'
loop_
_atom_site_label
_atom_site_type_symbol
_atom_site_fract_x
_atom_site_fract_y
_atom_site_fract_z
_atom_site_occupancy
Be1 Be 0.000 0.000 0.500 1
Be2 Be 0.000 0.500 0.000 1
Be3 Be 0.500 0.000 0.000 1
Cd1 Cd 0.500 0.500 0.500 1
Co1 Co 0.000 0.000 0.000 1
```

Results
Its space group is Pm-3m (221). The value obtained for the formation energy is 45.48 kJ per mole of atoms. Its total DFT energy (no corrections) is -3.369 eV per atom. Its density of states at the Fermi level is 1.956 states/eV/f.u. The spin magnetization comes out at 0.0000 μB/atom.

***

[10]
An optimized crystal structure of BeCr2CdCo. Source: Alexandria, functional PBE-GGA.

```
data_BeCr2CdCo
_cell_length_a 4.975
_cell_length_b 4.975
_cell_length_c 4.690
_cell_angle_alpha 90.00
_cell_angle_beta 90.00
_cell_angle_gamma 90.00
_symmetry_space_group_name_H-M 'P 1'
_symmetry_Int_Tables_number 1
loop_
_symmetry_equiv_pos_as_xyz
'x,y,z'
loop_
_atom_site_label
_atom_site_type_symbol
_atom_site_fract_x
_atom_site_fract_y
_atom_site_fract_z
_atom_site_occupancy
Be1 Be 0.000 0.000 0.000 1
Cr1 Cr 0.000 0.500 0.500 1
Cr2 Cr 0.500 0.000 0.500 1
Cd1 Cd 0.500 0.500 0.500 1
Co1 Co 0.500 0.500 0.000 1
```

Results
Its space group is P4/mmm (123). The value obtained for the formation energy is 190.39 kJ per mole of atoms. Its total DFT energy (no corrections) is -4.225 eV per atom. Its density of states at the Fermi level is 8.445 states/eV/f.u. The spin magnetization comes out at 1.9817 μB/atom.

***

[11]
An optimized crystal structure of HfBeCd2Co. Source: Alexandria, functional PBE-GGA.

```
data_HfBeCd2Co
_cell_length_a 4.478
_cell_length_b 4.478
_cell_length_c 4.208
_cell_angle_alpha 90.00
_cell_angle_beta 90.00
_cell_angle_gamma 90.00
_symmetry_space_group_name_H-M 'P 1'
_symmetry_Int_Tables_number 1
loop_
_symmetry_equiv_pos_as_xyz
'x,y,z'
loop_
_atom_site_label
_atom_site_type_symbol
_atom_site_fract_x
_atom_site_fract_y
_atom_site_fract_z
_atom_site_occupancy
Hf1 Hf 0.000 0.000 0.000 1
Be1 Be 0.500 0.500 0.500 1
Cd1 Cd 0.000 0.500 0.500 1
Cd2 Cd 0.500 0.000 0.500 1
Co1 Co 0.500 0.500 0.000 1
```

Results
Its space group is P4/mmm (123). The value obtained for the formation energy is 43.35 kJ per mole of atoms. Its total DFT energy (no corrections) is -4.074 eV per atom. Its density of states at the Fermi level is 4.455 states/eV/f.u. The spin magnetization comes out at 0.1738 μB/atom.

***

[12]
An optimized crystal structure of La2BeCdCo. Source: Alexandria, functional PBE-GGA.

```
data_La2BeCdCo
_cell_length_a 5.304
_cell_length_b 5.304
_cell_length_c 4.344
_cell_angle_alpha 90.00
_cell_angle_beta 90.00
_cell_angle_gamma 90.00
_symmetry_space_group_name_H-M 'P 1'
_symmetry_Int_Tables_number 1
loop_
_symmetry_equiv_pos_as_xyz
'x,y,z'
loop_
_atom_site_label
_atom_site_type_symbol
_atom_site_fract_x
_atom_site_fract_y
_atom_site_fract_z
_atom_site_occupancy
La1 La 0.000 0.500 0.000 1
La2 La 0.500 0.000 0.000 1
Be1 Be 0.000 0.000 0.500 1
Cd1 Cd 0.500 0.500 0.500 1
Co1 Co 0.000 0.000 0.000 1
```

Results
Its space group is P4/mmm (123). The value obtained for the formation energy is -8.91 kJ per mole of atoms. Its total DFT energy (no corrections) is -4.413 eV per atom. Its density of states at the Fermi level is 3.682 states/eV/f.u. The spin magnetization comes out at 0.0000 μB/atom.

***

[13]
An optimized crystal structure of MgBeCd2Co. Source: Alexandria, functional PBE-GGA.

```
data_MgBeCd2Co
_cell_length_a 4.590
_cell_length_b 4.590
_cell_length_c 4.078
_cell_angle_alpha 90.00
_cell_angle_beta 90.00
_cell_angle_gamma 90.00
_symmetry_space_group_name_H-M 'P 1'
_symmetry_Int_Tables_number 1
loop_
_symmetry_equiv_pos_as_xyz
'x,y,z'
loop_
_atom_site_label
_atom_site_type_symbol
_atom_site_fract_x
_atom_site_fract_y
_atom_site_fract_z
_atom_site_occupancy
Mg1 Mg 0.000 0.000 0.000 1
Be1 Be 0.500 0.500 0.500 1
Cd1 Cd 0.000 0.500 0.500 1
Cd2 Cd 0.500 0.000 0.500 1
Co1 Co 0.500 0.500 0.000 1
```

Results
Its space group is P4/mmm (123). The value obtained for the formation energy is 35.40 kJ per mole of atoms. Its total DFT energy (no corrections) is -2.485 eV per atom. Its density of states at the Fermi level is 3.083 states/eV/f.u. The spin magnetization comes out at 0.0001 μB/atom.